A plane-wave DFT calculation with PBE-GGA was carried out for ZrCrIr3 after structural relaxation.

Calculated values
For the calculated total energy, the calculation gives -8.349 eV per atom. The value obtained for the spin magnetization is 0.0 μB per formula unit. For the density, the calculation gives 13.127 g/cm3.

Lattice parameters (Å, degrees): 4.4990 4.4990 4.4990 90.00 90.00 90.00
Closest atoms and distances in Å follow each position.
Fractional coordinates of all 5 atoms:
Ir: 0.0000 0.0000 0.5000  2 Cr 2.25
Ir: 0.5000 0.0000 0.0000  2 Cr 2.25
Ir: 0.0000 0.5000 0.0000  2 Cr 2.25
Cr: 0.0000 0.0000 0.0000  6 Ir 2.25
Zr: 0.5000 0.5000 0.5000  12 Ir 3.18



A plane-wave DFT calculation with PBE-GGA was carried out for ZrCr2Ir after structural relaxation.

Calculated values
The value obtained for the spin magnetization is 1.4 μB per formula unit. Its polymorph energy (0 for the lowest one) is 0.173 eV per atom. For the density, the calculation gives 10.928 g/cm3.

Lattice parameters (Å, degrees): 4.3665 4.3665 4.3665 60.00 60.00 60.00
Closest atoms and distances in Å follow each position.
Fractional coordinates of all 4 atoms:
Cr: 0.7500 0.7500 0.7500  4 Ir 2.67, 4 Zr 2.67
Cr: 0.2500 0.2500 0.2500  4 Ir 2.67, 4 Zr 2.67
Ir: 0.5000 0.5000 0.5000  8 Cr 2.67
Zr: 0.0000 0.0000 0.0000  8 Cr 2.67



A plane-wave DFT calculation with PBE-GGA was carried out for Zr2CrIr after structural relaxation.

Calculated values
The value obtained for the spin magnetization is 0.9 μB per formula unit. Its polymorph energy (0 for the lowest one) is 0.007 eV per atom. For the density, the calculation gives 10.049 g/cm3.

Lattice parameters (Å, degrees): 3.2387 3.3328 6.5316 90.00 90.00 90.00
Closest atoms and distances in Å follow each position.
Fractional coordinates of all 4 atoms:
Zr: 0.0000 0.0000 0.0043  4 Cr 2.82, 4 Ir 2.86
Zr: 0.0000 0.0000 0.4957  4 Cr 2.82, 4 Ir 2.86
Ir: 0.5000 0.5000 0.7500  8 Zr 2.86
Cr: 0.5000 0.5000 0.2500  8 Zr 2.82



A plane-wave DFT calculation with PBE-GGA was carried out for Zr2CrIr after structural relaxation.

Calculated values
The value obtained for the spin magnetization is 2.1 μB per formula unit. Its polymorph energy (0 for the lowest one) is 0.307 eV per atom. For the density, the calculation gives 9.496 g/cm3.

Lattice parameters (Å, degrees): 3.1282 4.3107 5.5331 90.00 90.00 90.00
Closest atoms and distances in Å follow each position.
Fractional coordinates of all 4 atoms:
Ir: 0.5000 0.5000 0.7866  6 Zr 2.70-2.83
Zr: 0.5000 0.5000 0.2979  2 Ir 2.70-2.83, 4 Cr 2.81
Zr: 0.0000 0.0000 0.9551  2 Cr 2.74-2.80, 4 Ir 2.82
Cr: 0.0000 0.0000 0.4603  6 Zr 2.74-2.81



A plane-wave DFT calculation with PBE-GGA was carried out for Zr2CrIr2 after structural relaxation.

Calculated values
For the calculated total energy, the calculation gives -9.289 eV per atom. The value obtained for the spin magnetization is 0.0 μB per formula unit. For the density, the calculation gives 11.484 g/cm3.

Lattice parameters (Å, degrees): 6.4122 6.4122 4.3529 90.00 90.00 90.00
Closest atoms and distances in Å follow each position.
Fractional coordinates of all 10 atoms:
Ir: 0.1424 0.3576 0.0000  2 Cr 2.47, 1 Ir 2.58, 2 Zr 2.73
Ir: 0.6424 0.1424 0.0000  2 Cr 2.47, 1 Ir 2.58, 2 Zr 2.73
Ir: 0.3576 0.8576 0.0000  2 Cr 2.47, 1 Ir 2.58, 2 Zr 2.73
Ir: 0.8576 0.6424 0.0000  2 Cr 2.47, 1 Ir 2.58, 2 Zr 2.73
Zr: 0.8247 0.3247 0.5000  6 Ir 2.73-2.99
Zr: 0.6753 0.8247 0.5000  6 Ir 2.73-2.99
Zr: 0.3247 0.1753 0.5000  6 Ir 2.73-2.99
Zr: 0.1753 0.6753 0.5000  6 Ir 2.73-2.99
Cr: 0.0000 0.0000 0.0000  4 Ir 2.47
Cr: 0.5000 0.5000 0.0000  4 Ir 2.47



A plane-wave DFT calculation with PBE-GGA was carried out for Zr2CrIr after structural relaxation.

Calculated values
The value obtained for the spin magnetization is 1.0 μB per formula unit. Its polymorph energy (0 for the lowest one) is 0.000 eV per atom. For the density, the calculation gives 10.062 g/cm3.

Lattice parameters (Å, degrees): 3.3318 4.5971 4.5971 90.00 90.00 90.00
Closest atoms and distances in Å follow each position.
Fractional coordinates of all 4 atoms:
Cr: 0.5000 0.0000 0.0000  8 Zr 2.84
Zr: 0.0000 0.5000 0.0000  4 Ir 2.84, 4 Cr 2.84
Zr: 0.0000 0.0000 0.5000  4 Cr 2.84, 4 Ir 2.84
Ir: 0.5000 0.5000 0.5000  8 Zr 2.84